# PmTm2P3

Crystalline PmTm2P3 at its relaxed geometry (PBE, Alexandria).

abc: 6.946 6.946 6.946
angles: 146.42 131.73 60.08
Atoms (fractional coordinates):
Pm 0.000 0.000 0.000
Tm 0.334 0.334 0.000
Tm 0.666 0.666 0.000
P 0.173 0.673 0.500
P 0.500 0.000 0.500
P 0.827 0.327 0.500

## Properties
The formation energy from the elements is -1.577 eV/atom. For the total moment, the calculation gives 0.000 μB/f.u. For the density, the calculation gives 6.98 g/cm3. The value obtained for the total energy is -6.56 eV/atom. The calculation puts the density of states at the Fermi level at 0.8 states/eV/f.u.

# Nd5Sm2Tm2

Crystalline Nd5Sm2Tm2 at its relaxed geometry (PBE, Alexandria).

abc: 10.480 10.480 10.480
angles: 86.75 103.49 145.43
Atoms (fractional coordinates):
Nd 0.060 0.986 0.574
Nd 0.197 0.048 0.245
Nd 0.197 0.452 0.650
Nd 0.412 0.486 0.426
Nd 0.465 0.007 0.170
Nd 0.465 0.795 0.958
Nd 0.803 0.548 0.350
Nd 0.803 0.952 0.755
Nd 0.837 0.295 0.830
Nd 0.837 0.507 0.042
Sm 0.578 0.078 0.500
Sm 0.578 0.578 0.000
Sm 0.655 0.462 0.693
Sm 0.769 0.962 0.307
Tm 0.095 0.282 0.086
Tm 0.095 0.509 0.313
Tm 0.196 0.009 0.914
Tm 0.196 0.782 0.687

## Properties
The formation energy from the elements is 0.163 eV/atom. For the total moment, the calculation gives 0.000 μB/f.u. For the density, the calculation gives 7.33 g/cm3. The value obtained for the total energy is -4.53 eV/atom. The calculation puts the density of states at the Fermi level at 12.3 states/eV/f.u. The polymorph energy (0 for the lowest one) comes out at 0.148 eV per atom.

# LiSeBr

Crystalline LiSeBr at its relaxed geometry (PBE, Alexandria).

abc: 3.182 3.182 8.207
angles: 90.00 90.00 120.00
Atoms (fractional coordinates):
Li 0.000 0.000 0.000
Se 0.667 0.333 0.252
Br 0.333 0.667 0.782

## Properties
For the total moment, the calculation gives 0.000 μB/f.u. For the density, the calculation gives 3.83 g/cm3. The value obtained for the total energy is -2.80 eV/atom. The calculation puts the density of states at the Fermi level at 1.4 states/eV/f.u. The polymorph energy (0 for the lowest one) comes out at 0.080 eV per atom. For the uncorrected formation energy, the calculation gives -446.2 meV per atom.

# Sc2ReRh

Crystalline Sc2ReRh at its relaxed geometry (PBE, Alexandria).

abc: 3.465 3.465 5.982
angles: 90.00 90.00 90.00
Atoms (fractional coordinates):
Sc 0.000 0.000 0.000
Sc 0.500 0.500 0.331
Re 0.000 0.000 0.529
Rh 0.500 0.500 0.804

## Properties
The formation energy from the elements is -0.007 eV/atom. For the total moment, the calculation gives 0.001 μB/f.u. For the density, the calculation gives 8.76 g/cm3. The value obtained for the total energy is -8.12 eV/atom. The calculation puts the density of states at the Fermi level at 5.3 states/eV/f.u.

# HoH3Ru

Crystalline HoH3Ru at its relaxed geometry (PBE, Alexandria).

abc: 5.997 5.997 4.803
angles: 90.24 90.24 35.37
Atoms (fractional coordinates):
Ho 0.000 0.000 0.000
Ho 0.734 0.734 0.511
H 0.168 0.168 0.260
H 0.172 0.172 0.761
H 0.418 0.418 0.159
H 0.556 0.556 0.755
H 0.783 0.783 0.006
H 0.956 0.956 0.506
Ru 0.275 0.275 0.013
Ru 0.447 0.447 0.514

## Properties
For the total moment, the calculation gives 0.000 μB/f.u. For the density, the calculation gives 8.94 g/cm3. The value obtained for the total energy is -5.27 eV/atom. The calculation puts the density of states at the Fermi level at 1.4 states/eV/f.u.

# Ca2NpAl9

Crystalline Ca2NpAl9 at its relaxed geometry (PBE, Alexandria).

abc: 9.523 9.523 9.523
angles: 33.91 33.91 33.91
Atoms (fractional coordinates):
Ca 0.141 0.141 0.141
Ca 0.859 0.859 0.859
Np 0.000 0.000 0.000
Al 0.077 0.584 0.584
Al 0.335 0.335 0.335
Al 0.416 0.416 0.923
Al 0.416 0.923 0.416
Al 0.500 0.500 0.500
Al 0.584 0.077 0.584
Al 0.584 0.584 0.077
Al 0.665 0.665 0.665
Al 0.923 0.416 0.416

## Properties
The formation energy from the elements is -0.171 eV/atom. For the total moment, the calculation gives 4.708 μB/f.u. For the density, the calculation gives 3.88 g/cm3. The value obtained for the total energy is -4.39 eV/atom. The calculation puts the density of states at the Fermi level at 17.8 states/eV/f.u.